[1]
Entry from OQMD via LeMat-Bulk: crystalline Ge2IrS at its relaxed geometry (PBE).

Structure (CIF):
```
data_Ge2IrS
_symmetry_space_group_name_H-M 'P m n 21'
_symmetry_Int_Tables_number 31
_cell_length_a 3.5844
_cell_length_b 5.6110
_cell_length_c 6.9893
_cell_angle_alpha 90.00
_cell_angle_beta 90.00
_cell_angle_gamma 90.00
loop_
_symmetry_equiv_pos_as_xyz
'x,y,z'
'-x+1/2,-y,z+1/2'
'-x,y,z'
'x+1/2,-y,z+1/2'
loop_
_atom_site_label
_atom_site_type_symbol
_atom_site_fract_x
_atom_site_fract_y
_atom_site_fract_z
Ge1 Ge 0.0000 0.0247 0.0000
Ge2 Ge 0.0000 0.4734 0.3864
Ir1 Ir 0.0000 0.7553 0.6936
S1 S 0.0000 0.2405 0.6906
```

Computed properties:
Magnetization ... 0.00 μB per formula unit
Raw total energy ... -5.53 eV per atom

[2]
Entry from OQMD via LeMat-Bulk: crystalline Ge2IrS at its relaxed geometry (PBE).

Structure (CIF):
```
data_Ge2IrS
_symmetry_space_group_name_H-M 'P 1 21/m 1'
_symmetry_Int_Tables_number 11
_cell_length_a 5.9411
_cell_length_b 3.4141
_cell_length_c 7.0551
_cell_angle_alpha 90.00
_cell_angle_beta 97.28
_cell_angle_gamma 90.00
loop_
_symmetry_equiv_pos_as_xyz
'x,y,z'
'-x,-y,-z'
'-x,y+1/2,-z'
'x,-y+1/2,z'
loop_
_atom_site_label
_atom_site_type_symbol
_atom_site_fract_x
_atom_site_fract_y
_atom_site_fract_z
Ge1 Ge 0.1064 0.2500 0.2919
Ge2 Ge 0.3930 0.2500 0.8510
Ir1 Ir 0.1906 0.7500 0.0447
S1 S 0.2530 0.7500 0.5665
```

Computed properties:
Magnetization ... 0.00 μB per formula unit
Raw total energy ... -5.60 eV per atom